Record 1
Compound: MnFe2N2
Source: Alexandria
Functional: PBE-GGA
Structure: relaxed

Structure (CIF):
```
data_MnFe2N2
_cell_length_a 2.9061
_cell_length_b 2.9061
_cell_length_c 6.2454
_cell_angle_alpha 90.00
_cell_angle_beta 90.00
_cell_angle_gamma 120.00
_space_group_name_H-M_alt 'P -3 m 1'
_space_group_IT_number 164
_space_group_name_Hall '-P 3 2"'
loop_
_atom_site_label
_atom_site_type_symbol
_atom_site_fract_x
_atom_site_fract_y
_atom_site_fract_z
_atom_site_occupancy
Mn1 Mn 0.0000 0.0000 0.0000 1
Fe1 Fe 0.3333 0.6667 0.3322 1
N1 N 0.3333 0.6667 0.7925 1
```

Calculated values
crystal system = trigonal
raw formation energy = 0.03 eV per atom


Record 2
Compound: Ta5MnNb
Source: Alexandria
Functional: PBE-GGA
Structure: relaxed

Structure (CIF):
```
data_Ta5MnNb
_cell_length_a 4.2150
_cell_length_b 4.2150
_cell_length_c 7.2096
_cell_angle_alpha 90.00
_cell_angle_beta 90.00
_cell_angle_gamma 90.00
_space_group_name_H-M_alt 'P 4/m m m'
_space_group_IT_number 123
_space_group_name_Hall '-P 4 2'
loop_
_atom_site_label
_atom_site_type_symbol
_atom_site_fract_x
_atom_site_fract_y
_atom_site_fract_z
_atom_site_occupancy
Ta1 Ta 0.0000 0.0000 0.0000 1
Ta2 Ta 0.0000 0.5000 0.2958 1
Mn1 Mn 0.5000 0.5000 0.5000 1
Nb1 Nb 0.5000 0.5000 0.0000 1
```

Calculated values
crystal system = tetragonal
electronic total energy = -76.7 eV for the cell shown


Record 3
Compound: Pr2Ho8Th
Source: Alexandria
Functional: PBE-GGA
Structure: relaxed

Structure (CIF):
```
data_Pr2Ho8Th
_cell_length_a 18.1850
_cell_length_b 5.0522
_cell_length_c 7.9696
_cell_angle_alpha 90.00
_cell_angle_beta 105.16
_cell_angle_gamma 90.00
_space_group_name_H-M_alt 'C 1 2/m 1'
_space_group_IT_number 12
loop_
_space_group_symop_operation_xyz
'x,y,z'
'-x,-y,-z'
'-x,y,-z'
'x,-y,z'
'x+1/2,y+1/2,z'
'-x+1/2,-y+1/2,-z'
'-x+1/2,y+1/2,-z'
'x+1/2,-y+1/2,z'
loop_
_atom_site_label
_atom_site_type_symbol
_atom_site_fract_x
_atom_site_fract_y
_atom_site_fract_z
_atom_site_occupancy
Pr1 Pr 0.2278 0.0000 0.1365 1
Ho1 Ho 0.0437 0.0000 0.2319 1
Ho2 Ho 0.0888 0.5000 0.9505 1
Ho3 Ho 0.1338 0.0000 0.6754 1
Ho4 Ho 0.1794 0.5000 0.4067 1
Th1 Th 0.0000 0.5000 0.5000 1
```

Calculated values
crystal system = monoclinic
electronic total energy = -106.6 eV for the cell shown


Record 4
Compound: Nd6YSc8
Source: Alexandria
Functional: PBE-GGA
Structure: relaxed

Structure (CIF):
```
data_Nd6YSc8
_cell_length_a 9.3138
_cell_length_b 9.3138
_cell_length_c 17.6285
_cell_angle_alpha 90.00
_cell_angle_beta 90.00
_cell_angle_gamma 120.00
_space_group_name_H-M_alt 'R -3'
_space_group_IT_number 148
_space_group_name_Hall '-R 3'
loop_
_atom_site_label
_atom_site_type_symbol
_atom_site_fract_x
_atom_site_fract_y
_atom_site_fract_z
_atom_site_occupancy
Nd1 Nd 0.0210 0.7838 0.4053 1
Y1 Y 0.0000 0.0000 0.0000 1
Sc1 Sc 0.0000 0.0000 0.2245 1
Sc2 Sc 0.0515 0.7705 0.8993 1
```

Calculated values
crystal system = trigonal
electronic total energy = -248.8 eV for the cell shown


Record 5
Compound: Pm12Y3Ho
Source: Alexandria
Functional: PBE-GGA
Structure: relaxed

Structure (CIF):
```
data_Pm12Y3Ho
_cell_length_a 5.1331
_cell_length_b 5.1331
_cell_length_c 20.4849
_cell_angle_alpha 90.00
_cell_angle_beta 90.00
_cell_angle_gamma 90.00
_space_group_name_H-M_alt 'P 4/m m m'
_space_group_IT_number 123
_space_group_name_Hall '-P 4 2'
loop_
_atom_site_label
_atom_site_type_symbol
_atom_site_fract_x
_atom_site_fract_y
_atom_site_fract_z
_atom_site_occupancy
Pm1 Pm 0.0000 0.0000 0.0000 1
Pm2 Pm 0.0000 0.0000 0.2495 1
Pm3 Pm 0.0000 0.0000 0.5000 1
Pm4 Pm 0.0000 0.5000 0.1243 1
Pm5 Pm 0.0000 0.5000 0.3747 1
Y1 Y 0.5000 0.5000 0.2496 1
Y2 Y 0.5000 0.5000 0.5000 1
Ho1 Ho 0.5000 0.5000 0.0000 1
```

Calculated values
crystal system = tetragonal
electronic total energy = -80.8 eV for the cell shown


Record 6
Compound: MgGa2P
Source: Alexandria
Functional: PBE-GGA
Structure: relaxed

Structure (CIF):
```
data_MgGa2P
_cell_length_a 3.6372
_cell_length_b 3.6372
_cell_length_c 24.5640
_cell_angle_alpha 90.00
_cell_angle_beta 90.00
_cell_angle_gamma 120.00
_space_group_name_H-M_alt 'R -3 m'
_space_group_IT_number 166
_space_group_name_Hall '-R 3 2"'
loop_
_atom_site_label
_atom_site_type_symbol
_atom_site_fract_x
_atom_site_fract_y
_atom_site_fract_z
_atom_site_occupancy
Mg1 Mg 0.0000 0.0000 0.0000 1
Ga1 Ga 0.0000 0.0000 0.1104 1
P1 P 0.0000 0.0000 0.5000 1
```

Calculated values
crystal system = trigonal
electronic total energy = -38.6 eV for the cell shown


Record 7
Compound: B2S6F
Source: Alexandria
Functional: PBE-GGA
Structure: relaxed

Structure (CIF):
```
data_B2S6F
_cell_length_a 7.6230
_cell_length_b 17.5116
_cell_length_c 7.9230
_cell_angle_alpha 90.00
_cell_angle_beta 115.02
_cell_angle_gamma 90.00
_space_group_name_H-M_alt 'C 1 2/c 1'
_space_group_IT_number 15
loop_
_space_group_symop_operation_xyz
'x,y,z'
'-x,-y,-z'
'-x,y,-z+1/2'
'x,-y,z+1/2'
'x+1/2,y+1/2,z'
'-x+1/2,-y+1/2,-z'
'-x+1/2,y+1/2,-z+1/2'
'x+1/2,-y+1/2,z+1/2'
loop_
_atom_site_label
_atom_site_type_symbol
_atom_site_fract_x
_atom_site_fract_y
_atom_site_fract_z
_atom_site_occupancy
B1 B 0.1884 0.1235 0.2719 1
S1 S 0.0404 0.1562 0.6438 1
S2 S 0.1242 0.3843 0.5163 1
S3 S 0.1645 0.0825 0.0541 1
F1 F 0.0000 0.1677 0.2500 1
```

Calculated values
crystal system = monoclinic
raw formation energy = -0.23 eV per atom


Record 8
Compound: K3P11
Source: Alexandria
Functional: PBE-GGA
Structure: relaxed

Structure (CIF):
```
data_K3P11
_cell_length_a 10.7148
_cell_length_b 13.9018
_cell_length_c 10.8308
_cell_angle_alpha 90.00
_cell_angle_beta 90.00
_cell_angle_gamma 90.00
_space_group_name_H-M_alt 'P b c n'
_space_group_IT_number 60
loop_
_space_group_symop_operation_xyz
'x,y,z'
'-x,-y,-z'
'-x+1/2,-y+1/2,z+1/2'
'x+1/2,y+1/2,-z+1/2'
'x+1/2,-y+1/2,-z'
'-x+1/2,y+1/2,z'
'-x,y,-z+1/2'
'x,-y,z+1/2'
loop_
_atom_site_label
_atom_site_type_symbol
_atom_site_fract_x
_atom_site_fract_y
_atom_site_fract_z
_atom_site_occupancy
K1 K 0.0000 0.2195 0.2500 1
K2 K 0.2350 0.4932 0.0707 1
P1 P 0.0000 0.0245 0.7500 1
P2 P 0.0109 0.3470 0.5129 1
P3 P 0.0810 0.1287 0.8771 1
P4 P 0.0823 0.3768 0.8128 1
P5 P 0.0893 0.2100 0.5692 1
P6 P 0.1776 0.2382 0.7559 1
```

Calculated values
crystal system = orthorhombic
electronic total energy = -269.0 eV for the cell shown


Record 9
Compound: Ca2AcPb
Source: Alexandria
Functional: PBE-GGA
Structure: relaxed

Structure (CIF):
```
data_Ca2AcPb
_cell_length_a 4.8786
_cell_length_b 12.9227
_cell_length_c 9.6425
_cell_angle_alpha 90.00
_cell_angle_beta 90.00
_cell_angle_gamma 90.00
_space_group_name_H-M_alt 'C m c m'
_space_group_IT_number 63
_space_group_name_Hall '-C 2c 2'
loop_
_atom_site_label
_atom_site_type_symbol
_atom_site_fract_x
_atom_site_fract_y
_atom_site_fract_z
_atom_site_occupancy
Ca1 Ca 0.0000 0.1452 0.0572 1
Ac1 Ac 0.0000 0.4474 0.2500 1
Pb1 Pb 0.0000 0.2597 0.7500 1
```

Calculated values
crystal system = orthorhombic
electronic total energy = -52.5 eV for the cell shown


Record 10
Compound: NaZnB3
Source: Alexandria
Functional: PBE-GGA
Structure: relaxed

Structure (CIF):
```
data_NaZnB3
_cell_length_a 4.1464
_cell_length_b 4.1464
_cell_length_c 4.1464
_cell_angle_alpha 90.00
_cell_angle_beta 90.00
_cell_angle_gamma 90.00
_space_group_name_H-M_alt 'P m -3 m'
_space_group_IT_number 221
_space_group_name_Hall '-P 4 2 3'
loop_
_atom_site_label
_atom_site_type_symbol
_atom_site_fract_x
_atom_site_fract_y
_atom_site_fract_z
_atom_site_occupancy
Na1 Na 0.0000 0.0000 0.0000 1
Zn1 Zn 0.5000 0.5000 0.5000 1
B1 B 0.0000 0.5000 0.5000 1
```

Calculated values
crystal system = cubic
electronic total energy = -14.1 eV for the cell shown


Record 11
Compound: HfHg2PtW
Source: Alexandria
Functional: PBE-GGA
Structure: relaxed

Structure (CIF):
```
data_HfHg2PtW
_cell_length_a 5.1101
_cell_length_b 5.1101
_cell_length_c 5.0020
_cell_angle_alpha 90.00
_cell_angle_beta 90.00
_cell_angle_gamma 90.00
_space_group_name_H-M_alt 'P 4/m m m'
_space_group_IT_number 123
_space_group_name_Hall '-P 4 2'
loop_
_atom_site_label
_atom_site_type_symbol
_atom_site_fract_x
_atom_site_fract_y
_atom_site_fract_z
_atom_site_occupancy
Hf1 Hf 0.0000 0.0000 0.0000 1
Hg1 Hg 0.0000 0.5000 0.5000 1
Pt1 Pt 0.0000 0.0000 0.5000 1
W1 W 0.5000 0.5000 0.0000 1
```

Calculated values
crystal system = tetragonal
electronic total energy = -23.3 eV for the cell shown


Record 12
Compound: In3GaN4
Source: Alexandria
Functional: PBE-GGA
Structure: relaxed

Structure (CIF):
```
data_In3GaN4
_cell_length_a 3.4926
_cell_length_b 3.4926
_cell_length_c 11.3762
_cell_angle_alpha 90.00
_cell_angle_beta 90.00
_cell_angle_gamma 120.00
_space_group_name_H-M_alt 'P 3 m 1'
_space_group_IT_number 156
loop_
_space_group_symop_operation_xyz
'x,y,z'
'-y,x-y,z'
'-x+y,-x,z'
'-y,-x,z'
'-x+y,y,z'
'x,x-y,z'
loop_
_atom_site_label
_atom_site_type_symbol
_atom_site_fract_x
_atom_site_fract_y
_atom_site_fract_z
_atom_site_occupancy
In1 In 0.0000 0.0000 0.0000 1
In2 In 0.0000 0.0000 0.4810 1
In3 In 0.6667 0.3333 0.7406 1
Ga1 Ga 0.6667 0.3333 0.2376 1
N1 N 0.0000 0.0000 0.2873 1
N2 N 0.0000 0.0000 0.8082 1
N3 N 0.6667 0.3333 0.0661 1
N4 N 0.6667 0.3333 0.5489 1
```

Calculated values
crystal system = trigonal
raw formation energy = 0.00 eV per atom